1.
# HfNi3Ge, relaxed, DFT PBE
data_HfNi3Ge
_chemical_formula_sum 'Hf4 Ni12 Ge4'
_cell_length_a 4.634
_cell_length_b 4.634
_cell_length_c 15.693
_cell_angle_alpha 90.00
_cell_angle_beta 90.00
_cell_angle_gamma 90.00
_symmetry_space_group_name_H-M 'I -4 m 2'
_symmetry_Int_Tables_number 119
_symmetry_space_group_name_Hall 'I -4 -2'
loop_
_atom_site_label
_atom_site_fract_x
_atom_site_fract_y
_atom_site_fract_z
_atom_site_occupancy
Hf1 0.000 0.000 0.123 1
Ni1 0.000 0.245 0.626 1
Ni2 0.000 0.500 0.035 1
Ge1 0.000 0.000 0.500 1
Ge2 0.000 0.500 0.750 1
# Density = 8.421 g/cm³
# Excess energy over the best structure of this formula in the dataset = 0 meV/atom

2.
# HfNi5Ge, relaxed, DFT PBE
data_HfNi5Ge
_chemical_formula_sum 'Hf1 Ni5 Ge1'
_cell_length_a 3.756
_cell_length_b 3.756
_cell_length_c 6.567
_cell_angle_alpha 90.00
_cell_angle_beta 90.00
_cell_angle_gamma 90.00
_symmetry_space_group_name_H-M 'P 4/m m m'
_symmetry_Int_Tables_number 123
_symmetry_space_group_name_Hall '-P 4 2'
loop_
_atom_site_label
_atom_site_fract_x
_atom_site_fract_y
_atom_site_fract_z
_atom_site_occupancy
Hf1 0.000 0.000 0.000 1
Ni1 0.000 0.500 0.281 1
Ni2 0.500 0.500 0.000 1
Ge1 0.500 0.500 0.500 1
# E_tot = -6.587 eV per atom
# Density = 9.763 g/cm³

3.
# HfNi3Ge, relaxed, DFT PBE
data_HfNi3Ge
_chemical_formula_sum 'Hf1 Ni3 Ge1'
_cell_length_a 4.602
_cell_length_b 4.602
_cell_length_c 4.602
_cell_angle_alpha 90.00
_cell_angle_beta 90.00
_cell_angle_gamma 90.00
_symmetry_space_group_name_H-M 'P m -3 m'
_symmetry_Int_Tables_number 221
_symmetry_space_group_name_Hall '-P 4 2 3'
loop_
_atom_site_label
_atom_site_fract_x
_atom_site_fract_y
_atom_site_fract_z
_atom_site_occupancy
Hf1 0.000 0.000 0.000 1
Ni1 0.000 0.000 0.500 1
Ge1 0.500 0.500 0.500 1
# Density = 7.279 g/cm³
# Excess energy over the best structure of this formula in the dataset = 1095 meV/atom

4.
# HfNi4Ge, relaxed, DFT PBE
data_HfNi4Ge
_chemical_formula_sum 'Hf4 Ni16 Ge4'
_cell_length_a 4.284
_cell_length_b 15.533
_cell_length_c 4.788
_cell_angle_alpha 90.00
_cell_angle_beta 90.00
_cell_angle_gamma 90.00
_symmetry_space_group_name_H-M 'I m m a'
_symmetry_Int_Tables_number 74
_symmetry_space_group_name_Hall '-I 2b 2'
loop_
_atom_site_label
_atom_site_fract_x
_atom_site_fract_y
_atom_site_fract_z
_atom_site_occupancy
Hf1 0.000 0.250 0.019 1
Ni1 0.000 0.081 0.078 1
Ni2 0.000 0.156 0.577 1
Ge1 0.000 0.000 0.500 1
# Density = 10.131 g/cm³
# Excess energy over the best structure of this formula in the dataset = 46 meV/atom

5.
# HfNi3Ge2, relaxed, DFT PBE
data_HfNi3Ge2
_chemical_formula_sum 'Hf6 Ni18 Ge12'
_cell_length_a 15.497
_cell_length_b 3.750
_cell_length_c 9.181
_cell_angle_alpha 90.00
_cell_angle_beta 108.44
_cell_angle_gamma 90.00
_symmetry_space_group_name_H-M 'C 1 2/m 1'
_symmetry_Int_Tables_number 12
loop_
_symmetry_equiv_pos_as_xyz
'x,y,z'
'-x,-y,-z'
'-x,y,-z'
'x,-y,z'
'x+1/2,y+1/2,z'
'-x+1/2,-y+1/2,-z'
'-x+1/2,y+1/2,-z'
'x+1/2,-y+1/2,z'
loop_
_atom_site_label
_atom_site_fract_x
_atom_site_fract_y
_atom_site_fract_z
_atom_site_occupancy
Hf1 0.000 0.000 0.000 1
Hf2 0.154 0.000 0.696 1
Ni1 0.000 0.500 0.500 1
Ni2 0.039 0.000 0.338 1
Ni3 0.113 0.500 0.190 1
Ni4 0.185 0.500 0.973 1
Ni5 0.214 0.000 0.394 1
Ge1 0.043 0.500 0.789 1
Ge2 0.138 0.500 0.457 1
Ge3 0.198 0.000 0.135 1
# E_tot = -6.582 eV per atom
# Density = 9.838 g/cm³

6.
# HfNi6Ge, relaxed, DFT PBE
data_HfNi6Ge
_chemical_formula_sum 'Hf8 Ni48 Ge8'
_cell_length_a 7.278
_cell_length_b 10.371
_cell_length_c 10.347
_cell_angle_alpha 90.00
_cell_angle_beta 90.00
_cell_angle_gamma 90.00
_symmetry_space_group_name_H-M 'C m m m'
_symmetry_Int_Tables_number 65
_symmetry_space_group_name_Hall '-C 2 2'
loop_
_atom_site_label
_atom_site_fract_x
_atom_site_fract_y
_atom_site_fract_z
_atom_site_occupancy
Hf1 0.000 0.000 0.249 1
Hf2 0.000 0.243 0.500 1
Ni1 0.000 0.000 0.000 1
Ni2 0.000 0.000 0.500 1
Ni3 0.000 0.251 0.243 1
Ni4 0.000 0.500 0.000 1
Ni5 0.000 0.500 0.500 1
Ni6 0.242 0.376 0.371 1
Ni7 0.243 0.374 0.121 1
Ge1 0.000 0.241 0.000 1
Ge2 0.000 0.500 0.247 1
# Density = 10.261 g/cm³
# Excess energy over the best structure of this formula in the dataset = 0 meV/atom